# 1
Material: NiTeCl2
Method: DFT, PBE-GGA
State: optimized geometry

POSCAR file:
```
NiTeCl2
1.0
1.7742 -3.4025 0.0000
1.7742 3.4025 0.0000
0.0000 0.0000 8.6085
Ni Te Cl
1 1 2
Cartesian
0.0000 0.0000 0.0000
1.7742 0.0000 6.9535
0.0000 0.0000 4.7507
1.7742 0.0000 1.3831
```

Summary:
total magnetic moment: 0.000 μB per cell
space group: Cmm2 (35)
density of states at the Fermi level: 3.35 states/eV per cell
DFT total energy: -3.30 eV per atom
formation energy from raw total energies: -0.147 eV/atom
offset from the most stable computed form: 0.252 eV/atom



# 2
Material: BaPa2GeO8
Method: DFT, PBE-GGA
State: optimized geometry

POSCAR file:
```
BaPa2GeO8
1.0
5.1352 0.0000 0.0000
0.0000 7.1634 0.0000
-0.4718 0.0000 5.1147
Ba Pa Ge O
1 2 1 8
Cartesian
0.0000 0.0000 0.0000
2.3317 1.8705 2.5573
2.3317 5.2928 2.5573
0.0000 3.5817 0.0000
0.8931 2.2496 0.9749
0.8931 4.9138 0.9749
1.2972 3.5817 3.4976
1.4193 0.0000 3.3807
3.2441 0.0000 1.7340
3.3662 3.5817 1.6170
3.7703 2.2496 4.1397
3.7703 4.9138 4.1397
```

Summary:
total magnetic moment: 0.000 μB per cell
space group: P2/m (10)
density of states at the Fermi level: 0.00 states/eV per cell
DFT total energy: -8.28 eV per atom
formation energy from raw total energies: -2.846 eV/atom



# 3
Material: Y4SiIr
Method: DFT, PBE-GGA
State: optimized geometry

POSCAR file:
```
Y4SiIr
1.0
0.0000 4.1858 4.1858
4.1858 0.0000 4.1858
4.1858 4.1858 0.0000
Y Si Ir
4 1 1
Cartesian
1.0409 1.0409 1.0409
3.1449 3.1449 1.0409
3.1449 1.0409 3.1449
1.0409 3.1449 3.1449
4.1858 4.1858 4.1858
6.2787 6.2787 6.2787
```

Summary:
total magnetic moment: 0.001 μB per cell
space group: F-43m (216)
density of states at the Fermi level: 6.82 states/eV per cell
DFT total energy: -6.05 eV per atom
formation energy from raw total energies: 0.638 eV/atom